Computed, not measured: an optimized crystal structure of TbGe2Te4 at the PBE-GGA level of DFT.

The calculation puts the formation energy from raw total energies at -0.28 eV per atom.

The space group is I4/m (No. 87) and the conventional cell measures 8.1973, 8.1973 and 7.1877 Å, with angles of 90.00, 90.00 and 90.00 degrees. The asymmetric unit holds Tb at (0.0000, 0.0000, 0.0000), Ge at (0.0000, 0.5000, 0.2500) and Te at (0.1815, 0.6949, 0.5000).